This record from Alexandria via LeMat-Bulk describes crystalline Tb2Sc7Cd2 at its relaxed geometry. The functional is PBE-GGA.

Its calculated formation energy is 0.08 eV/atom. For the volume, the calculation gives 25.41 Å³/atom.

It has space group C2/m (No. 12), with a = 9.396 Å, b = 10.512 Å, c = 6.235 Å, α = 90.00°, β = 114.83° and γ = 90.00°. The asymmetric unit holds Tb at (0.000, 0.154, 0.000), Sc at (0.000, 0.000, 0.500), Sc at (0.164, 0.500, 0.974), Sc at (0.173, 0.245, 0.687) and Cd at (0.164, 0.500, 0.465).